[1]
Computed, not measured: SrYZrCl2 after structural relaxation at the PBE-GGA level of DFT.

Formation energy (no corrections) = -118 meV per atom

a = 5.282 Å, b = 5.282 Å, c = 7.544 Å
α = 90.00°, β = 90.00°, γ = 90.00°
Space group P4/mmm (No. 123)
Asymmetric unit:
Sr  0.000  0.000  0.000 [1 per cell]
Y  0.500  0.500  0.500 [1 per cell]
Zr  0.000  0.000  0.500 [1 per cell]
Cl  0.000  0.500  0.000 [2 per cell]



[2]
Computed, not measured: GdPuHgBi after structural relaxation at the PBE-GGA level of DFT.

E_form = -351 meV/atom

a = 7.692 Å, b = 7.692 Å, c = 7.692 Å
α = 90.00°, β = 90.00°, γ = 90.00°
Space group F-43m (No. 216)
Asymmetric unit:
Gd  0.000  0.000  0.000 [4 per cell]
Pu  0.000  0.000  0.500 [4 per cell]
Hg  0.250  0.250  0.750 [4 per cell]
Bi  0.250  0.250  0.250 [4 per cell]



[3]
Computed, not measured: Mo3H12Pt5 after structural relaxation at the PBE-GGA level of DFT.

Uncorrected energy = -4.885 eV/atom

a = 11.081 Å, b = 11.081 Å, c = 11.081 Å
α = 90.00°, β = 90.00°, γ = 90.00°
Space group Ia-3d (No. 230)
Asymmetric unit:
Mo  0.000  0.250  0.125 [24 per cell]
H  0.013  0.071  0.656 [96 per cell]
Pt  0.000  0.000  0.000 [16 per cell]
Pt  0.000  0.250  0.375 [24 per cell]



[4]
Computed, not measured: TmCdO2 after structural relaxation at the PBE-GGA level of DFT.

Formation energy (no corrections) = -2352 meV per atom

a = 3.4240 Å, b = 3.4240 Å, c = 20.1138 Å
α = 90.00°, β = 90.00°, γ = 120.00°
Space group R-3m (No. 166, hexagonal axes)
Asymmetric unit:
Tm  0.0000  0.0000  0.0000 [3 per cell]
Cd  0.0000  0.0000  0.5000 [3 per cell]
O  0.0000  0.0000  0.3871 [6 per cell]



[5]
Computed, not measured: ScTa2TlS after structural relaxation at the PBE-GGA level of DFT.

Formation energy (no corrections) = 1885 meV per atom

a = 5.192 Å, b = 5.192 Å, c = 5.053 Å
α = 90.00°, β = 90.00°, γ = 90.00°
Space group P4/mmm (No. 123)
Asymmetric unit:
Sc  0.000  0.000  0.000 [1 per cell]
Ta  0.000  0.500  0.500 [2 per cell]
Tl  0.500  0.500  0.500 [1 per cell]
S  0.500  0.500  0.000 [1 per cell]



[6]
Computed, not measured: AsIr2 after structural relaxation at the PBE-GGA level of DFT.

E_form = 273 meV/atom

a = 10.324 Å, b = 2.872 Å, c = 6.315 Å
α = 90.00°, β = 104.35°, γ = 90.00°
Space group C2/m (No. 12)
Asymmetric unit:
As  0.030  0.000  0.282 [4 per cell]
Ir  0.145  0.500  0.043 [4 per cell]
Ir  0.172  0.500  0.619 [4 per cell]



[7]
Computed, not measured: KIn4Bi2 after structural relaxation at the PBE-GGA level of DFT.

E_form = -38 meV/atom
Relative energy among the computed polymorphs = 0.44 eV per formula unit

a = 6.226 Å, b = 6.226 Å, c = 12.322 Å
α = 90.00°, β = 104.33°, γ = 90.00°
Space group C2/m (No. 12)
Asymmetric unit:
K  0.000  0.000  0.000 [2 per cell]
In  0.000  0.250  0.500 [4 per cell]
In  0.147  0.000  0.294 [4 per cell]
Bi  0.114  0.500  0.227 [4 per cell]



[8]
Computed, not measured: ZrFeHg2Ir after structural relaxation at the PBE-GGA level of DFT.

E_form = 776 meV/atom

a = 4.850 Å, b = 4.850 Å, c = 4.536 Å
α = 90.00°, β = 90.00°, γ = 90.00°
Space group P4/mmm (No. 123)
Asymmetric unit:
Zr  0.000  0.000  0.000 [1 per cell]
Fe  0.500  0.500  0.500 [1 per cell]
Hg  0.000  0.500  0.500 [2 per cell]
Ir  0.500  0.500  0.000 [1 per cell]



Repeat the second record exactly.
Computed, not measured: GdPuHgBi after structural relaxation at the PBE-GGA level of DFT.

E_form = -351 meV/atom

a = 7.692 Å, b = 7.692 Å, c = 7.692 Å
α = 90.00°, β = 90.00°, γ = 90.00°
Space group F-43m (No. 216)
Asymmetric unit:
Gd  0.000  0.000  0.000 [4 per cell]
Pu  0.000  0.000  0.500 [4 per cell]
Hg  0.250  0.250  0.750 [4 per cell]
Bi  0.250  0.250  0.250 [4 per cell]